The following is a PBE calculation of a relaxed ErThGaOs crystal, from Alexandria.

The structure in POSCAR format:
```
ErThGaOs
1.0
4.1630 0.0000 0.0000
0.0000 3.9613 0.0000
-2.0815 0.0000 5.6350
Th Ga Os Er
1 1 1 1
direct
0.7598 0.5000 0.5196
0.4666 0.5000 0.9332
0.3064 0.0000 0.6129
0.0367 0.0000 0.0735
```

Summary:
energy above the lowest structure with this stoichiometry: 0.000 eV per atom
formation energy: -0.499 eV/atom
uncorrected energy: -28.24 eV per formula unit
M_tot: 0.00 μB per cell